(1)
# CuSnRhAu (PBE, optimized geometry)
# E_tot in eV/atom: -4.779
# DOS(E_F) in states/eV/f.u.: 3.11
data_CuSnRhAu
_chemical_formula_sum 'Cu4 Sn4 Rh4 Au4'
_symmetry_space_group_name_H-M 'F -4 3 m'
_symmetry_Int_Tables_number 216
_symmetry_space_group_name_Hall 'F -4 2 3'
_cell_length_a 6.403
_cell_length_b 6.403
_cell_length_c 6.403
_cell_angle_alpha 90.00
_cell_angle_beta 90.00
_cell_angle_gamma 90.00
loop_
_atom_site_label
_atom_site_type_symbol
_atom_site_fract_x
_atom_site_fract_y
_atom_site_fract_z
Cu1 Cu 0.000 0.000 0.000
Sn1 Sn 0.000 0.000 0.500
Rh1 Rh 0.250 0.250 0.750
Au1 Au 0.250 0.250 0.250



(2)
# TbCuRhAu (PBE, optimized geometry)
# E_tot in eV/atom: -5.225
# DOS(E_F) in states/eV/f.u.: 3.51
data_TbCuRhAu
_chemical_formula_sum 'Tb4 Cu4 Rh4 Au4'
_symmetry_space_group_name_H-M 'F -4 3 m'
_symmetry_Int_Tables_number 216
_symmetry_space_group_name_Hall 'F -4 2 3'
_cell_length_a 6.613
_cell_length_b 6.613
_cell_length_c 6.613
_cell_angle_alpha 90.00
_cell_angle_beta 90.00
_cell_angle_gamma 90.00
loop_
_atom_site_label
_atom_site_type_symbol
_atom_site_fract_x
_atom_site_fract_y
_atom_site_fract_z
Tb1 Tb 0.000 0.000 0.000
Cu1 Cu 0.000 0.000 0.500
Rh1 Rh 0.250 0.250 0.250
Au1 Au 0.250 0.250 0.750



(3)
# TlCuRhAu (PBE, optimized geometry)
# E_tot in eV/atom: -4.136
# DOS(E_F) in states/eV/f.u.: 2.41
data_TlCuRhAu
_chemical_formula_sum 'Tl4 Cu4 Rh4 Au4'
_symmetry_space_group_name_H-M 'F -4 3 m'
_symmetry_Int_Tables_number 216
_symmetry_space_group_name_Hall 'F -4 2 3'
_cell_length_a 6.473
_cell_length_b 6.473
_cell_length_c 6.473
_cell_angle_alpha 90.00
_cell_angle_beta 90.00
_cell_angle_gamma 90.00
loop_
_atom_site_label
_atom_site_type_symbol
_atom_site_fract_x
_atom_site_fract_y
_atom_site_fract_z
Tl1 Tl 0.000 0.000 0.000
Cu1 Cu 0.250 0.250 0.250
Rh1 Rh 0.250 0.250 0.750
Au1 Au 0.000 0.000 0.500



(4)
# TmCuRhAu (PBE, optimized geometry)
# E_tot in eV/atom: -5.411
# DOS(E_F) in states/eV/f.u.: 0.66
data_TmCuRhAu
_chemical_formula_sum 'Tm1 Cu1 Rh1 Au1'
_symmetry_space_group_name_H-M 'P m m m'
_symmetry_Int_Tables_number 47
_cell_length_a 3.929
_cell_length_b 3.960
_cell_length_c 4.345
_cell_angle_alpha 90.00
_cell_angle_beta 90.00
_cell_angle_gamma 90.00
loop_
_symmetry_equiv_pos_as_xyz
'x,y,z'
'-x,-y,-z'
'-x,-y,z'
'x,y,-z'
'x,-y,-z'
'-x,y,z'
'-x,y,-z'
'x,-y,z'
loop_
_atom_site_label
_atom_site_type_symbol
_atom_site_fract_x
_atom_site_fract_y
_atom_site_fract_z
Tm1 Tm 0.000 0.000 0.000
Cu1 Cu 0.000 0.500 0.500
Rh1 Rh 0.500 0.500 0.000
Au1 Au 0.500 0.000 0.500



(5)
# TmCuRhAu (PBE, optimized geometry)
# E_tot in eV/atom: -5.255
# DOS(E_F) in states/eV/f.u.: 3.18
data_TmCuRhAu
_chemical_formula_sum 'Tm4 Cu4 Rh4 Au4'
_symmetry_space_group_name_H-M 'F -4 3 m'
_symmetry_Int_Tables_number 216
_symmetry_space_group_name_Hall 'F -4 2 3'
_cell_length_a 6.531
_cell_length_b 6.531
_cell_length_c 6.531
_cell_angle_alpha 90.00
_cell_angle_beta 90.00
_cell_angle_gamma 90.00
loop_
_atom_site_label
_atom_site_type_symbol
_atom_site_fract_x
_atom_site_fract_y
_atom_site_fract_z
Tm1 Tm 0.000 0.000 0.000
Cu1 Cu 0.000 0.000 0.500
Rh1 Rh 0.250 0.250 0.750
Au1 Au 0.250 0.250 0.250



(6)
# V2CuRhAu (PBE, optimized geometry)
# E_tot in eV/atom: -5.038
# DOS(E_F) in states/eV/f.u.: 7.98
data_V2CuRhAu
_chemical_formula_sum 'V2 Cu1 Rh1 Au1'
_symmetry_space_group_name_H-M 'P 4/m m m'
_symmetry_Int_Tables_number 123
_symmetry_space_group_name_Hall '-P 4 2'
_cell_length_a 4.678
_cell_length_b 4.678
_cell_length_c 4.573
_cell_angle_alpha 90.00
_cell_angle_beta 90.00
_cell_angle_gamma 90.00
loop_
_atom_site_label
_atom_site_type_symbol
_atom_site_fract_x
_atom_site_fract_y
_atom_site_fract_z
V1 V 0.000 0.500 0.000
Cu1 Cu 0.000 0.000 0.500
Rh1 Rh 0.500 0.500 0.500
Au1 Au 0.000 0.000 0.000



(7)
# ZnCuRhAu (PBE, optimized geometry)
# E_tot in eV/atom: -4.185
# DOS(E_F) in states/eV/f.u.: 2.52
data_ZnCuRhAu
_chemical_formula_sum 'Zn1 Cu1 Rh1 Au1'
_symmetry_space_group_name_H-M 'P m m m'
_symmetry_Int_Tables_number 47
_cell_length_a 3.542
_cell_length_b 3.954
_cell_length_c 4.149
_cell_angle_alpha 90.00
_cell_angle_beta 90.00
_cell_angle_gamma 90.00
loop_
_symmetry_equiv_pos_as_xyz
'x,y,z'
'-x,-y,-z'
'-x,-y,z'
'x,y,-z'
'x,-y,-z'
'-x,y,z'
'-x,y,-z'
'x,-y,z'
loop_
_atom_site_label
_atom_site_type_symbol
_atom_site_fract_x
_atom_site_fract_y
_atom_site_fract_z
Zn1 Zn 0.000 0.000 0.000
Cu1 Cu 0.000 0.500 0.500
Rh1 Rh 0.500 0.500 0.000
Au1 Au 0.500 0.000 0.500



(8)
# ZnCuRhAu2 (PBE, optimized geometry)
# E_tot in eV/atom: -2.959
# DOS(E_F) in states/eV/f.u.: 3.90
data_ZnCuRhAu2
_chemical_formula_sum 'Zn1 Cu1 Rh1 Au2'
_symmetry_space_group_name_H-M 'P 4/m m m'
_symmetry_Int_Tables_number 123
_symmetry_space_group_name_Hall '-P 4 2'
_cell_length_a 5.048
_cell_length_b 5.048
_cell_length_c 4.639
_cell_angle_alpha 90.00
_cell_angle_beta 90.00
_cell_angle_gamma 90.00
loop_
_atom_site_label
_atom_site_type_symbol
_atom_site_fract_x
_atom_site_fract_y
_atom_site_fract_z
Zn1 Zn 0.000 0.000 0.000
Cu1 Cu 0.500 0.500 0.000
Rh1 Rh 0.000 0.000 0.500
Au1 Au 0.000 0.500 0.500



(9)
# CuRuAu (PBE, optimized geometry)
# E_tot in eV/atom: -5.255
# DOS(E_F) in states/eV/f.u.: 2.73
data_CuRuAu
_chemical_formula_sum 'Cu2 Ru2 Au2'
_symmetry_space_group_name_H-M 'I 4 m m'
_symmetry_Int_Tables_number 107
_symmetry_space_group_name_Hall 'I 4 -2'
_cell_length_a 2.721
_cell_length_b 2.721
_cell_length_c 11.940
_cell_angle_alpha 90.00
_cell_angle_beta 90.00
_cell_angle_gamma 90.00
loop_
_atom_site_label
_atom_site_type_symbol
_atom_site_fract_x
_atom_site_fract_y
_atom_site_fract_z
Cu1 Cu 0.000 0.000 0.000
Ru1 Ru 0.000 0.000 0.348
Au1 Au 0.000 0.000 0.669



(10)
# CuRu2Au (PBE, optimized geometry)
# E_tot in eV/atom: -5.627
# DOS(E_F) in states/eV/f.u.: 3.05
data_CuRu2Au
_chemical_formula_sum 'Cu4 Ru8 Au4'
_symmetry_space_group_name_H-M 'I -4 2 d'
_symmetry_Int_Tables_number 122
_symmetry_space_group_name_Hall 'I -4 2bw'
_cell_length_a 7.201
_cell_length_b 7.201
_cell_length_c 4.917
_cell_angle_alpha 90.00
_cell_angle_beta 90.00
_cell_angle_gamma 90.00
loop_
_atom_site_label
_atom_site_type_symbol
_atom_site_fract_x
_atom_site_fract_y
_atom_site_fract_z
Cu1 Cu 0.000 0.000 0.000
Ru1 Ru 0.207 0.250 0.125
Au1 Au 0.000 0.000 0.500



(11)
# Cu2RuAu (PBE, optimized geometry)
# E_tot in eV/atom: -4.913
# DOS(E_F) in states/eV/f.u.: 4.20
data_Cu2RuAu
_chemical_formula_sum 'Cu2 Ru1 Au1'
_symmetry_space_group_name_H-M 'P m m 2'
_symmetry_Int_Tables_number 25
_cell_length_a 2.666
_cell_length_b 3.805
_cell_length_c 5.607
_cell_angle_alpha 90.00
_cell_angle_beta 90.00
_cell_angle_gamma 90.00
loop_
_symmetry_equiv_pos_as_xyz
'x,y,z'
'-x,-y,z'
'-x,y,z'
'x,-y,z'
loop_
_atom_site_label
_atom_site_type_symbol
_atom_site_fract_x
_atom_site_fract_y
_atom_site_fract_z
Cu1 Cu 0.000 0.000 0.000
Cu2 Cu 0.500 0.500 0.234
Ru1 Ru 0.000 0.000 0.463
Au1 Au 0.500 0.500 0.745



(12)
# CuRuAu (PBE, optimized geometry)
# E_tot in eV/atom: -4.880
# DOS(E_F) in states/eV/f.u.: 1.64
data_CuRuAu
_chemical_formula_sum 'Cu4 Ru4 Au4'
_symmetry_space_group_name_H-M 'F -4 3 m'
_symmetry_Int_Tables_number 216
_symmetry_space_group_name_Hall 'F -4 2 3'
_cell_length_a 5.876
_cell_length_b 5.876
_cell_length_c 5.876
_cell_angle_alpha 90.00
_cell_angle_beta 90.00
_cell_angle_gamma 90.00
loop_
_atom_site_label
_atom_site_type_symbol
_atom_site_fract_x
_atom_site_fract_y
_atom_site_fract_z
Cu1 Cu 0.000 0.000 0.000
Ru1 Ru 0.250 0.250 0.250
Au1 Au 0.250 0.250 0.750



(13)
# Cu2RuAu (PBE, optimized geometry)
# E_tot in eV/atom: -4.953
# DOS(E_F) in states/eV/f.u.: 3.38
data_Cu2RuAu
_chemical_formula_sum 'Cu4 Ru2 Au2'
_symmetry_space_group_name_H-M 'C 1 2/m 1'
_symmetry_Int_Tables_number 12
_cell_length_a 8.835
_cell_length_b 2.653
_cell_length_c 4.929
_cell_angle_alpha 90.00
_cell_angle_beta 98.87
_cell_angle_gamma 90.00
loop_
_symmetry_equiv_pos_as_xyz
'x,y,z'
'-x,-y,-z'
'-x,y,-z'
'x,-y,z'
'x+1/2,y+1/2,z'
'-x+1/2,-y+1/2,-z'
'-x+1/2,y+1/2,-z'
'x+1/2,-y+1/2,z'
loop_
_atom_site_label
_atom_site_type_symbol
_atom_site_fract_x
_atom_site_fract_y
_atom_site_fract_z
Cu1 Cu 0.246 0.000 0.230
Ru1 Ru 0.000 0.500 0.000
Au1 Au 0.000 0.000 0.500



(14)
# Cu2RuAu (PBE, optimized geometry)
# E_tot in eV/atom: -4.987
# DOS(E_F) in states/eV/f.u.: 3.47
data_Cu2RuAu
_chemical_formula_sum 'Cu2 Ru1 Au1'
_symmetry_space_group_name_H-M 'P 4/m m m'
_symmetry_Int_Tables_number 123
_symmetry_space_group_name_Hall '-P 4 2'
_cell_length_a 2.740
_cell_length_b 2.740
_cell_length_c 7.564
_cell_angle_alpha 90.00
_cell_angle_beta 90.00
_cell_angle_gamma 90.00
loop_
_atom_site_label
_atom_site_type_symbol
_atom_site_fract_x
_atom_site_fract_y
_atom_site_fract_z
Cu1 Cu 0.000 0.000 0.238
Ru1 Ru 0.500 0.500 0.000
Au1 Au 0.500 0.500 0.500



(15)
# CuRuAu4 (PBE, optimized geometry)
# E_tot in eV/atom: -3.797
# DOS(E_F) in states/eV/f.u.: 7.34
data_CuRuAu4
_chemical_formula_sum 'Cu4 Ru4 Au16'
_symmetry_space_group_name_H-M 'F -4 3 m'
_symmetry_Int_Tables_number 216
_symmetry_space_group_name_Hall 'F -4 2 3'
_cell_length_a 7.655
_cell_length_b 7.655
_cell_length_c 7.655
_cell_angle_alpha 90.00
_cell_angle_beta 90.00
_cell_angle_gamma 90.00
loop_
_atom_site_label
_atom_site_type_symbol
_atom_site_fract_x
_atom_site_fract_y
_atom_site_fract_z
Cu1 Cu 0.000 0.000 0.000
Ru1 Ru 0.250 0.250 0.250
Au1 Au 0.125 0.125 0.625



Respective total magnetic moment values: 0.000; 0.000; 0.000; 0.000; 0.000; 0.000; 0.000; 0.005; 0.000; 0.000; 0.169; 0.721; 0.017; 0.293; 0.430 μB per atom.
Respective DFT formation energy values: -9.34; -37.26; 13.16; -59.00; -44.01; 149.95; -17.90; 86.50; 28.46; 82.46; 26.34; 64.61; 22.52; 19.23; 59.49 kJ per mole of atoms.